Version P
Crystalline Lu2ScMn at its relaxed geometry. Source: Alexandria, functional PBE. Values from VASP.

```
&SYSTEM
  ibrav = 0, nat = 4, ntyp = 3
/
ATOMIC_SPECIES
Lu 174.97 Lu.upf
Sc 44.96 Sc.upf
Mn 54.94 Mn.upf
ATOMIC_POSITIONS crystal
Lu 0.000 0.500 0.000
Lu 0.500 0.000 0.000
Sc 0.000 0.000 0.500
Mn 0.500 0.500 0.500
CELL_PARAMETERS angstrom
4.770 0.000 0.000
0.000 4.770 0.000
0.000 0.000 4.140
```

Version Q
Crystalline Lu2ScMn at its relaxed geometry. Source: Alexandria, functional PBE. Values from VASP.

```
&SYSTEM
  ibrav = 0, nat = 4, ntyp = 3
/
ATOMIC_SPECIES
Lu 174.97 Lu.upf
Sc 44.96 Sc.upf
Mn 54.94 Mn.upf
ATOMIC_POSITIONS crystal
Lu 0.000 0.000 0.209
Lu 0.000 0.000 0.791
Sc 0.500 0.500 0.500
Mn 0.500 0.500 0.000
CELL_PARAMETERS angstrom
3.404 0.000 0.000
0.000 3.404 0.000
0.000 0.000 8.189
```

Energies relative to the minimum, meV per atom: version P 58; version Q 0

Version P
Crystalline Lu2MnSe at its relaxed geometry. Source: Alexandria, functional PBE. Values from VASP.

```
&SYSTEM
  ibrav = 0, nat = 4, ntyp = 3
/
ATOMIC_SPECIES
Lu 174.97 Lu.upf
Mn 54.94 Mn.upf
Se 78.96 Se.upf
ATOMIC_POSITIONS crystal
Lu 0.000 0.000 0.243
Lu 0.000 0.000 0.757
Mn 0.500 0.500 0.000
Se 0.500 0.500 0.500
CELL_PARAMETERS angstrom
3.487 0.000 0.000
0.000 3.487 0.000
0.000 0.000 6.886
```

Version Q
Crystalline Lu2MnSe at its relaxed geometry. Source: Alexandria, functional PBE. Values from VASP.

```
&SYSTEM
  ibrav = 0, nat = 4, ntyp = 3
/
ATOMIC_SPECIES
Lu 174.97 Lu.upf
Mn 54.94 Mn.upf
Se 78.96 Se.upf
ATOMIC_POSITIONS crystal
Lu 0.099 0.099 0.099
Lu 0.901 0.901 0.901
Mn 0.000 0.000 0.000
Se 0.500 0.500 0.500
CELL_PARAMETERS angstrom
1.781 1.028 9.260
-1.781 1.028 9.260
0.000 -2.057 9.260
```

Energies relative to the minimum, meV per atom: version P 0; version Q 464